Entry from Alexandria via LeMat-Bulk: a PBEsol-optimized structure of Li2AuCl (SCAN).

Results
Excess energy over the best structure of this formula in the dataset: 0.61 eV per formula unit

abc: 5.061 5.061 5.061
angles: 139.11 101.81 92.26
Atoms (fractional coordinates):
Li (0.221, 0.221, 0.000)
Li (0.779, 0.779, 0.000)
Au (0.500, 0.000, 0.500)
Cl (0.000, 0.500, 0.500)